Entry 1:
Material: ScTcRu2Br
Method: DFT, PBE
State: optimized geometry

Output
Energy relative to the elements, uncorrected in meV per atom: 1802
E_tot in eV/atom: -5.582

```
5
Lattice="4.7483 0.0000 0.0000 0.0000 5.0368 0.0000 0.0000 0.0000 4.7483" Properties=species:S:1:pos:R:3 pbc="T T T"
Sc 0.0000 0.0000 0.0000
Ru 0.0000 0.0000 2.3742
Ru 2.3742 0.0000 0.0000
Tc 0.0000 2.5184 0.0000
Br 2.3742 2.5184 2.3742
```


Entry 2:
Material: ErGe2Pd7
Method: DFT, PBE
State: optimized geometry

Output
E_tot in eV/atom: -5.675
Energy of formation in meV per atom: -660

```
10
Lattice="4.0141 0.0000 -0.7724 -0.1486 4.0113 -0.7724 -0.0437 -0.0453 10.5897" Properties=species:S:1:pos:R:3 pbc="T T T"
Er 0.0000 0.0000 0.0000
Ge 2.5910 2.6888 2.6488
Ge 1.2307 1.2772 6.3962
Pd 0.3157 2.4104 1.6409
Pd 1.4247 3.5612 7.4040
Pd 2.3971 0.4048 1.6409
Pd 1.9327 2.0057 -0.7724
Pd 2.9516 0.9802 4.5225
Pd 3.5060 1.5555 7.4040
Pd 0.8702 2.9858 4.5225
```